Entry w
Ca3BeW PBE-GGA relaxed; space-group type = Pm-3m; V = 28.7 A^3/atom
1.0
5.238 0.000 0.000
0.000 5.238 0.000
0.000 0.000 5.238
Ca Be W
3 1 1
direct
0.000 0.500 0.000
0.000 0.000 0.500
0.500 0.000 0.000
0.000 0.000 0.000
0.500 0.500 0.500


Entry x
Ca3BeW PBE-GGA relaxed; space-group type = Pm-3m; V = 33.4 A^3/atom
1.0
5.506 0.000 0.000
0.000 5.506 0.000
0.000 0.000 5.506
W Ca Be
1 3 1
direct
0.000 0.000 0.000
0.500 0.000 0.000
0.000 0.500 0.000
0.000 0.000 0.500
0.500 0.500 0.500


The relative energies come out as entry w 0; entry x 29, with values in meV/atom.


Entry w
CaBeW3 PBE-GGA relaxed; space-group type = Pm-3m; V = 19.5 A^3/atom
1.0
4.601 0.000 0.000
0.000 4.601 0.000
0.000 0.000 4.601
W Ca Be
3 1 1
direct
0.000 0.000 0.500
0.000 0.500 0.000
0.500 0.000 0.000
0.000 0.000 0.000
0.500 0.500 0.500


Entry x
CaBeW3 PBE-GGA relaxed; space-group type = Pm-3m; V = 17.3 A^3/atom
1.0
-1.932 -3.303 2.224
3.871 -0.981 1.906
-0.929 2.777 3.317
Be W Ca
1 3 1
direct
0.000 0.000 0.000
0.000 0.000 0.500
0.500 0.000 0.000
0.000 0.500 0.000
0.500 0.500 0.500


The relative energies come out as entry w 2290; entry x 0, with values in meV/atom.


Entry w
CaYBe PBE-GGA relaxed; space-group type = F-43m; V = 27.6 A^3/atom
1.0
4.894 0.000 0.000
2.447 4.238 0.000
2.447 1.413 3.996
Be Ca Y
1 1 1
direct
0.750 0.750 0.750
0.000 0.000 0.000
0.500 0.500 0.500


Entry x
CaYBe PBE-GGA relaxed; space-group type = I4mm; V = 26.1 A^3/atom
1.0
6.868 -0.002 0.002
5.979 3.379 0.006
0.888 0.231 3.373
Ca Be Y
1 1 1
direct
0.364 0.364 0.636
0.009 0.009 0.991
0.627 0.627 0.373


Entry y
CaYBe PBE-GGA relaxed; space-group type = P3m1; V = 26.4 A^3/atom
1.0
-3.376 -2.630 2.199
4.651 -1.087 0.577
0.172 2.402 3.136
Y Ca Be
1 1 1
direct
0.333 0.667 0.749
0.667 0.333 0.272
0.000 0.000 0.978


The relative energies come out as entry w 201; entry x 0; entry y 257, with values in meV/atom.